The following is a DFT calculation (PBE) of a relaxed Cs2NbTlBr6 crystal.

Output
Electronic total energy in hartree per atom: -0.133
Distance to the lowest polymorph of the same formula in meV per atom: 6
Spin magnetization in μB/cell: 8.0
Theoretical density in kg/m³: 4435

abc: 11.6014 11.6014 11.6014
angles: 90.00 90.00 90.00
Space group Fm-3m (No. 225)
Asymmetric unit:
Cs  0.2500  0.2500  0.2500 x8
Nb  0.0000  0.0000  0.0000 x4
Tl  0.0000  0.0000  0.5000 x4
Br  0.0000  0.0000  0.2283 x24